(w)
Below is a relaxed Na2SO crystal, with properties calculated at the PBE level.

Lattice parameters (Å, degrees): 6.4617 6.4617 6.4617 90.00 90.00 90.00
With the nearest neighbours (Å) after each atom.
Space group Fm-3m (No. 225)
Inequivalent atoms, fractional coordinates:
Na 0.2500 0.2500 0.2500  4 O 2.80, 4 S 2.80
S 0.0000 0.0000 0.0000  8 Na 2.80
O 0.0000 0.0000 0.5000  8 Na 2.80

***

(x)
Below is a relaxed Na2SO crystal, with properties calculated at the PBE level.

Lattice parameters (Å, degrees): 8.9633 8.9633 4.2066 90.00 90.00 90.00
With the nearest neighbours (Å) after each atom.
Space group I4_1/amd (No. 141, origin choice 2)
Inequivalent atoms, fractional coordinates:
Na 0.0000 0.0000 0.0000  2 O 2.30
S 0.0000 0.2500 0.3750  2 O 2.10
O 0.0000 0.2500 0.8750  2 S 2.10, 4 Na 2.30

***

Which one sits at the bottom of the stability order? (w) does.

***

(w)
Below is a relaxed NaSb3O8 crystal, with properties calculated at the PBE level.

Lattice parameters (Å, degrees): 7.1790 10.3821 7.5030 90.00 90.00 90.00
With the nearest neighbours (Å) after each atom.
Space group Ibam (No. 72)
Inequivalent atoms, fractional coordinates:
Na 0.0000 0.0000 0.2500  8 O 2.53-2.58
Sb 0.0000 0.5000 0.2500  8 O 2.06-2.20
Sb 0.2389 0.2522 0.0000  5 O 1.98-2.03
O 0.0124 0.1633 0.5000  2 Sb 1.99-2.03
O 0.1141 0.4220 0.0000  3 Sb 1.98-2.20
O 0.2031 0.3638 0.2954  2 Sb 2.00-2.06

***

(x)
Below is a relaxed NaSb3O8 crystal, with properties calculated at the PBE level.

Lattice parameters (Å, degrees): 5.7647 4.8794 10.6771 90.00 97.36 90.00
With the nearest neighbours (Å) after each atom.
Space group P2_1/c (No. 14)
Inequivalent atoms, fractional coordinates:
Na 0.0000 0.0000 0.0000  6 O 2.21-2.29
Sb 0.2414 0.0253 0.7500  6 O 1.97-2.12
Sb 0.5000 0.0000 0.5000  6 O 1.98-2.14
O 0.0012 0.2019 0.1857  2 Sb 1.98
O 0.2332 0.6451 0.0800  2 Sb 1.98-1.99
O 0.2970 0.2078 0.9159  2 Sb 1.97-1.98
O 0.4816 0.7241 0.8272  3 Sb 2.11-2.14

***

Which one sits at the bottom of the stability order? (w) does.

***

(w)
Below is a relaxed NaSb2O6 crystal, with properties calculated at the PBE level.

Lattice parameters (Å, degrees): 6.3762 6.3762 2.9267 90.00 90.00 120.00
With the nearest neighbours (Å) after each atom.
Space group P-3 (No. 147)
Inequivalent atoms, fractional coordinates:
Na 0.0000 0.0000 0.0000  6 O 2.49
Sb 0.3333 0.6667 0.7490  6 O 2.07-2.08
O 0.1240 0.7048 0.2495  2 Sb 2.07-2.08

***

(x)
Below is a relaxed NaSb2O6 crystal, with properties calculated at the PBE level.

Lattice parameters (Å, degrees): 4.7821 5.0514 12.3087 90.00 112.80 90.00
With the nearest neighbours (Å) after each atom.
Space group P2_1/c (No. 14)
Inequivalent atoms, fractional coordinates:
Na 0.0000 0.0000 0.0000  4 O 2.32-2.37
Sb 0.3032 0.0519 0.7486  6 O 1.97-2.07
O 0.0264 0.1189 0.2180  2 Sb 1.97-2.07
O 0.3659 0.7169 0.1355  2 Sb 2.04-2.05
O 0.4157 0.2196 0.1340  2 Sb 2.05-2.07

***

Which one sits at the bottom of the stability order? (w) does.